[1]
Material: Ta2CdSnMo
Method: DFT, PBE
State: relaxed

## Properties
Fermi-level density of states: 0.492 states/eV per atom
Calculated formation energy: 2.09 eV/atom

a b c (Å): 5.0772 5.0772 4.9531
angles (deg): 90.00 90.00 90.00
Last column: nearest neighbours and their distance in Å.
Space group P4/mmm (No. 123)
Inequivalent atoms, fractional coordinates:
Ta (0.0000, 0.5000, 0.0000)  2 Sn 2.54
Cd (0.0000, 0.0000, 0.5000)  2 Sn 2.48
Sn (0.0000, 0.0000, 0.0000)  2 Cd 2.48, 4 Ta 2.54
Mo (0.5000, 0.5000, 0.5000)  8 Ta 3.55, 4 Cd 3.59

---

[2]
Material: TaCdSn2Mo
Method: DFT, PBE
State: relaxed

## Properties
Fermi-level density of states: 0.782 states/eV per atom
Calculated formation energy: 1.35 eV/atom

a b c (Å): 5.3154 5.3154 5.3769
angles (deg): 90.00 90.00 90.00
Last column: nearest neighbours and their distance in Å.
Space group P4/mmm (No. 123)
Inequivalent atoms, fractional coordinates:
Ta (0.0000, 0.0000, 0.0000)  4 Sn 2.66, 2 Cd 2.69
Cd (0.0000, 0.0000, 0.5000)  2 Ta 2.69
Sn (0.0000, 0.5000, 0.0000)  2 Ta 2.66
Mo (0.5000, 0.5000, 0.5000)  4 Cd 3.76, 8 Sn 3.78

---

[3]
Material: Tl2CdSnMo
Method: DFT, PBE
State: relaxed

## Properties
Fermi-level density of states: 0.787 states/eV per atom
Relative energy among the computed polymorphs: 0 meV/atom
Calculated formation energy: 0.81 eV/atom

a b c (Å): 5.3771 5.3771 5.3651
angles (deg): 90.00 90.00 90.00
Last column: nearest neighbours and their distance in Å.
Space group P4/mmm (No. 123)
Inequivalent atoms, fractional coordinates:
Tl (0.0000, 0.5000, 0.0000)  2 Mo 2.69
Cd (0.0000, 0.0000, 0.5000)  2 Mo 2.68
Sn (0.5000, 0.5000, 0.5000)  8 Tl 3.80, 4 Cd 3.80
Mo (0.0000, 0.0000, 0.0000)  2 Cd 2.68, 4 Tl 2.69

---

[4]
Material: Tl2CdSnMo
Method: DFT, PBE
State: relaxed

## Properties
Fermi-level density of states: 0.495 states/eV per atom
Relative energy among the computed polymorphs: 430 meV/atom
Calculated formation energy: 1.24 eV/atom

a b c (Å): 5.7866 5.7866 5.4064
angles (deg): 90.00 90.00 90.00
Last column: nearest neighbours and their distance in Å.
Space group P4/mmm (No. 123)
Inequivalent atoms, fractional coordinates:
Tl (0.0000, 0.5000, 0.0000)  2 Sn 2.89
Cd (0.0000, 0.0000, 0.5000)  2 Sn 2.70
Sn (0.0000, 0.0000, 0.0000)  2 Cd 2.70, 4 Tl 2.89
Mo (0.5000, 0.5000, 0.5000)  8 Tl 3.96, 4 Cd 4.09

---

[5]
Material: VCdSn2Mo
Method: DFT, PBE
State: relaxed

## Properties
Fermi-level density of states: 1.363 states/eV per atom
Calculated formation energy: 1.87 eV/atom

a b c (Å): 5.2666 5.2666 5.1939
angles (deg): 90.00 90.00 90.00
Last column: nearest neighbours and their distance in Å.
Space group P4/mmm (No. 123)
Inequivalent atoms, fractional coordinates:
V (0.0000, 0.0000, 0.0000)  8 Sn 3.70, 4 Mo 3.72
Cd (0.5000, 0.5000, 0.5000)  2 Mo 2.60, 4 Sn 2.63
Sn (0.0000, 0.5000, 0.5000)  2 Cd 2.63
Mo (0.5000, 0.5000, 0.0000)  2 Cd 2.60

---

[6]
Material: Sr2CdMo
Method: DFT, PBE
State: relaxed

## Properties
Fermi-level density of states: 0.736 states/eV per atom
Relative energy among the computed polymorphs: 64 meV/atom
Calculated formation energy: 0.61 eV/atom

a b c (Å): 7.9659 7.9748 3.9127
angles (deg): 90.00 90.00 90.00
Last column: nearest neighbours and their distance in Å.
Space group Cmmm (No. 65)
Inequivalent atoms, fractional coordinates:
Sr (0.2500, 0.2500, 0.0000)  4 Cd 3.43, 4 Mo 3.43
Cd (0.0000, 0.0000, 0.5000)  8 Sr 3.43
Mo (0.0000, 0.5000, 0.5000)  8 Sr 3.43

---

[7]
Material: SrCd2Mo
Method: DFT, PBE
State: relaxed

## Properties
Fermi-level density of states: 0.424 states/eV per atom
Relative energy among the computed polymorphs: 138 meV/atom
Calculated formation energy: 0.53 eV/atom

a b c (Å): 5.3167 5.3167 3.2045
angles (deg): 90.00 90.00 90.00
Last column: nearest neighbours and their distance in Å.
Space group P4/mmm (No. 123)
Inequivalent atoms, fractional coordinates:
Sr (0.0000, 0.0000, 0.0000)  8 Cd 3.10, 2 Sr 3.20
Cd (0.0000, 0.5000, 0.5000)  4 Mo 3.10, 4 Sr 3.10, 2 Cd 3.20
Mo (0.5000, 0.5000, 0.0000)  8 Cd 3.10, 2 Mo 3.20

---

[8]
Material: SrCd2Mo
Method: DFT, PBE
State: relaxed

## Properties
Fermi-level density of states: 0.953 states/eV per atom
Relative energy among the computed polymorphs: 136 meV/atom
Calculated formation energy: 0.53 eV/atom

a b c (Å): 10.2234 3.0014 6.2811
angles (deg): 90.00 97.36 90.00
Last column: nearest neighbours and their distance in Å.
Space group C2/m (No. 12)
Inequivalent atoms, fractional coordinates:
Sr (0.0000, 0.0000, 0.0000)  2 Sr 3.00, 2 Cd 3.27
Cd (0.2384, 0.0000, 0.6986)  4 Cd 2.95-3.00, 3 Mo 3.00-3.09, 1 Sr 3.27
Mo (0.0000, 0.5000, 0.5000)  6 Cd 3.00-3.09, 2 Mo 3.00

---

[9]
Material: SrCd2Mo
Method: DFT, PBE
State: relaxed

## Properties
Fermi-level density of states: 0.900 states/eV per atom
Relative energy among the computed polymorphs: 106 meV/atom
Calculated formation energy: 0.50 eV/atom

a b c (Å): 7.3525 7.3525 7.3525
angles (deg): 90.00 90.00 90.00
Last column: nearest neighbours and their distance in Å.
Space group Fm-3m (No. 225)
Inequivalent atoms, fractional coordinates:
Sr (0.0000, 0.0000, 0.0000)  8 Cd 3.18
Cd (0.2500, 0.2500, 0.2500)  4 Mo 3.18, 4 Sr 3.18
Mo (0.0000, 0.0000, 0.5000)  8 Cd 3.18

---

[10]
Material: Sr4CdMo2
Method: DFT, PBE
State: relaxed

## Properties
Fermi-level density of states: 1.353 states/eV per atom
Calculated formation energy: 0.76 eV/atom

a b c (Å): 6.4005 6.4005 15.3541
angles (deg): 90.00 90.00 90.00
Last column: nearest neighbours and their distance in Å.
Space group I4/mmm (No. 139)
Inequivalent atoms, fractional coordinates:
Sr (0.0000, 0.0000, 0.2123)  1 Cd 3.26, 1 Mo 3.38
Sr (0.0000, 0.5000, 0.0000)  2 Cd 3.20, 4 Mo 3.36
Cd (0.0000, 0.0000, 0.0000)  6 Sr 3.20-3.26
Mo (0.0000, 0.0000, 0.4327)  1 Mo 2.07

---

[11]
Material: SrCd2Mo
Method: DFT, PBE
State: relaxed

## Properties
Fermi-level density of states: 1.133 states/eV per atom
Relative energy among the computed polymorphs: 392 meV/atom
Calculated formation energy: 0.79 eV/atom

a b c (Å): 4.9077 4.9077 20.3238
angles (deg): 90.00 90.00 90.00
Last column: nearest neighbours and their distance in Å.
Space group I-42d (No. 122)
Inequivalent atoms, fractional coordinates:
Sr (0.0000, 0.0000, 0.0000)  4 Cd 3.32, 4 Mo 3.47
Cd (0.1430, 0.2500, 0.6250)  2 Cd 2.83, 2 Mo 2.91
Mo (0.0000, 0.0000, 0.5000)  4 Cd 2.91

---

[12]
Material: Sr2CdMo
Method: DFT, PBE
State: relaxed

## Properties
Fermi-level density of states: 0.875 states/eV per atom
Relative energy among the computed polymorphs: 0 meV/atom
Calculated formation energy: 0.55 eV/atom

a b c (Å): 3.7790 3.7790 9.0620
angles (deg): 90.00 90.00 90.00
Last column: nearest neighbours and their distance in Å.
Space group P4mm (No. 99)
Inequivalent atoms, fractional coordinates:
Sr (0.0000, 0.0000, 0.0000)  1 Cd 3.31, 4 Mo 3.43
Sr (0.5000, 0.5000, 0.3902)  1 Mo 3.37, 4 Cd 3.47
Cd (0.0000, 0.0000, 0.6349)  4 Mo 2.91
Mo (0.5000, 0.5000, 0.7619)  4 Cd 2.91

---

[13]
Material: SrCdMo2
Method: DFT, PBE
State: relaxed

## Properties
Fermi-level density of states: 1.131 states/eV per atom
Relative energy among the computed polymorphs: 579 meV/atom
Calculated formation energy: 0.94 eV/atom

a b c (Å): 3.2191 4.8966 5.2869
angles (deg): 90.00 90.00 90.00
Last column: nearest neighbours and their distance in Å.
Space group Pmmm (No. 47)
Inequivalent atoms, fractional coordinates:
Sr (0.0000, 0.0000, 0.0000)  4 Cd 2.93, 4 Mo 3.09, 2 Sr 3.22
Cd (0.5000, 0.5000, 0.0000)  4 Sr 2.93, 4 Mo 3.09, 2 Cd 3.22
Mo (0.0000, 0.5000, 0.5000)  6 Mo 2.93-3.22, 4 Cd 3.09
Mo (0.5000, 0.0000, 0.5000)  6 Mo 2.93-3.22, 4 Sr 3.09

---

[14]
Material: SrCdMo2
Method: DFT, PBE
State: relaxed

## Properties
Fermi-level density of states: 0.761 states/eV per atom
Relative energy among the computed polymorphs: 219 meV/atom
Calculated formation energy: 0.58 eV/atom

a b c (Å): 3.4123 4.9997 10.0311
angles (deg): 90.00 90.00 90.00
Last column: nearest neighbours and their distance in Å.
Space group Cmm2 (No. 35)
Inequivalent atoms, fractional coordinates:
Sr (0.0000, 0.0000, 0.0000)  4 Sr 3.03, 2 Mo 3.25
Cd (0.0000, 0.5000, 0.2951)  2 Mo 2.99, 4 Cd 3.03
Mo (0.0000, 0.0000, 0.5396)  2 Mo 2.52
Mo (0.0000, 0.5000, 0.7239)  2 Mo 2.52

---

[15]
Material: SrCdMo2
Method: DFT, PBE
State: relaxed

## Properties
Fermi-level density of states: 0.993 states/eV per atom
Relative energy among the computed polymorphs: 272 meV/atom
Calculated formation energy: 0.64 eV/atom

a b c (Å): 8.6044 3.1337 7.1535
angles (deg): 90.00 97.27 90.00
Last column: nearest neighbours and their distance in Å.
Space group Cm (No. 8)
Inequivalent atoms, fractional coordinates:
Sr (0.0000, 0.0000, 0.0000)  2 Sr 3.13, 5 Mo 3.18-3.50, 3 Cd 3.33-3.46
Cd (0.2359, 0.0000, 0.6658)  5 Mo 2.90-3.02, 2 Cd 3.13
Mo (0.2688, 0.5000, 0.3126)  3 Mo 2.55-2.65
Mo (0.4914, 0.0000, 0.4366)  3 Mo 2.55-2.65